Entry 1:
PrLuSb PBE optimized geometry; VASP energy = -14.79 eV for the cell shown; formation energy from raw total energies = -0.456 eV per atom; size of the total moment = 0.00 μB per atom
1.0
4.0959 0.0000 0.0000
0.0000 5.0883 0.0000
0.0000 -2.5441 4.4066
Pr Sb Lu
1 1 1
Cartesian
2.6349 2.5442 1.4689 Pr
0.9520 0.0000 2.9377 Sb
0.5091 0.0000 0.0000 Lu


Entry 2:
Dy2HfS PBE optimized geometry; VASP energy = -25.13 eV for the cell shown; formation energy from raw total energies = -0.462 eV per atom; size of the total moment = 0.28 μB per atom
1.0
-2.8309 1.5082 1.4729
-3.2330 -0.7912 -1.1745
-2.5624 -6.9822 6.4537
S Hf Dy
1 1 2
Cartesian
-4.3132 -3.1326 3.3760 S
0.0000 0.0000 0.0000 Hf
-2.3894 -4.6735 4.4221 Dy
-6.2369 -1.5917 2.3299 Dy


Entry 3:
PmGe2Pd2Pt PBE optimized geometry; VASP energy = -33.89 eV for the cell shown; calculated formation energy = -3.481 eV/f.u.; size of the total moment = 0.00 μB per atom
1.0
-3.1366 -1.0517 2.4879
1.0933 -3.9807 -0.3044
5.5744 3.3023 4.9805
Pm Ge Pd Pt
1 2 2 1
Cartesian
-1.0217 -2.5162 1.0917 Pm
2.0959 -1.9780 5.2498 Ge
1.4352 0.2478 1.9142 Ge
2.8230 -1.5973 2.8839 Pd
0.7081 -0.1328 4.2800 Pd
0.0000 0.0000 0.0000 Pt


Entry 4:
TeAsP2O PBE optimized geometry; VASP energy = -22.13 eV for the cell shown; excess energy over the best structure of this formula in the dataset = 0 meV/atom; formation energy from raw total energies = 0.289 eV per atom; size of the total moment = 0.00 μB per atom
1.0
-2.4336 4.1884 0.5057
-4.2055 -2.4548 0.0929
0.2583 -0.3011 3.7362
P As Te O
2 1 1 1
Cartesian
-2.1027 -1.2274 0.0464 P
-1.2168 2.0942 0.2529 P
0.0000 0.0000 0.0000 As
-3.1904 0.7163 2.1674 Te
0.1291 -0.1505 1.8681 O


Entry 5:
Rb2Na2P PBE optimized geometry; VASP energy = -20.26 eV for the cell shown; excess energy over the best structure of this formula in the dataset = 135 meV/atom; calculated formation energy = -0.144 eV/f.u.; size of the total moment = 0.16 μB per atom
1.0
-0.5154 7.7624 -0.2061
-7.5457 -0.5494 -1.8231
-1.4727 0.0635 6.0762
P Rb Na
2 4 4
Cartesian
0.0000 0.0000 0.0000 P
-4.0305 3.6065 -1.0146 P
-6.1638 1.2376 1.7100 Rb
-7.0967 5.0696 1.4438 Rb
-3.3700 6.0389 2.3370 Rb
-2.4371 2.2068 2.6031 Rb
-6.4233 2.0969 -1.5788 Na
-5.4918 6.0647 -1.3945 Na
-1.6377 5.1160 -0.4504 Na
-2.5693 1.1482 -0.6347 Na


Entry 6:
TbSm2Er5Tm PBE optimized geometry; VASP energy = -77.59 eV for the cell shown; calculated formation energy = 2.557 eV/f.u.; size of the total moment = 0.00 μB per atom
1.0
-4.5265 0.0434 -7.3138
6.4681 -3.9913 -4.0268
-4.0258 -4.8436 7.5206
Tb Sm Er Tm
2 4 10 2
Cartesian
-1.5275 -3.4088 0.9252 Tb
-0.5567 -5.3827 -4.7452 Tb
1.9511 -1.5249 -2.3970 Sm
-2.0367 -0.4390 -4.9802 Sm
3.9783 -3.5089 -6.3604 Sm
-0.0095 -2.4231 -8.9436 Sm
-2.5518 -3.0142 -6.4183 Er
-4.8788 -4.0668 0.0734 Er
0.4676 -5.7773 2.5983 Er
-3.1183 -3.7782 4.0433 Er
-1.2929 -6.0658 -1.3716 Er
1.0341 -5.0133 -7.8633 Er
-0.7913 -2.7257 -2.4484 Er
2.7946 -4.7248 -3.8934 Er
0.9708 -1.9740 -5.6703 Er
0.0000 0.0000 0.0000 Er
1.7065 -5.4045 -1.0883 Tm
-3.7908 -3.3871 -2.7317 Tm


Entry 7:
LiNpH8Pd4 PBE optimized geometry; VASP energy = -62.79 eV for the cell shown; size of the total moment = 0.30 μB per atom
1.0
-5.4350 0.1287 1.5862
-1.4130 -1.1528 5.3615
-1.7995 4.8192 3.5529
Li Np H Pd
1 1 8 4
Cartesian
-4.2778 2.3878 5.3678 Li
-6.8352 -0.8878 6.9804 Np
-3.7545 2.5459 7.1481 H
-5.9173 3.2350 5.1179 H
-2.9946 3.1658 4.2649 H
-2.1087 1.5165 2.7612 H
-4.8157 1.3840 3.6061 H
-2.9276 0.7824 5.3785 H
-5.4791 0.8428 6.1231 H
-6.4899 2.8006 7.8645 H
-4.5201 -0.1999 4.7475 Pd
-7.0260 2.0846 6.0854 Pd
-5.0307 1.4488 7.9584 Pd
-7.7271 1.5126 8.7453 Pd


Entry 8:
BaSr PBE optimized geometry; VASP energy = -3.58 eV for the cell shown; excess energy over the best structure of this formula in the dataset = 14 meV/atom; calculated formation energy = 0.027 eV/f.u.; size of the total moment = 0.00 μB per atom
1.0
4.3398 0.0000 0.0000
-2.1699 3.7584 0.0000
0.0000 0.0000 7.1847
Sr Ba
1 1
Cartesian
2.1699 1.2528 3.5923 Sr
0.0000 0.0000 0.0000 Ba


- Which value of VASP energy does entry 1 give?
  -14.79 eV for the cell shown